Here is a relaxed structure of Sc2CrRh from the Alexandria database. Energies are from PBEsol.

Cell lengths 3.0489, 3.0489, 24.9293 Å; angles 90.00, 90.00, 120.00 degrees
Space group R-3m (No. 166, hexagonal axes)
One atom of each set of equivalent atoms:
1 Sc 0.0000 0.0000 0.2478 x6
2 Cr 0.0000 0.0000 0.0000 x3
3 Rh 0.0000 0.0000 0.5000 x3

Spin magnetization (μB per cell): 6.01
Calculated density (g/cm³): 6.08
Distance to the lowest polymorph of the same formula (meV/atom): 68
DFT formation energy (meV per atom): 41
Total energy (eV per atom): -7.856